The following is a PBE-GGA calculation of Tb3Ge5Rh6 after structural relaxation, from Alexandria via LeMat-Bulk.

Output
**Calculated total energy**: -6.68 eV per atom
**Energy of formation from the pure elements**: -893 meV/atom
**ρ**: 9.653 g/cm³
**V**: 17.91 Å³/atom

CIF file:
```
data_Tb3Ge5Rh6
_symmetry_space_group_name_H-M 'P m m n'
_symmetry_Int_Tables_number 59
_cell_length_a 4.0768
_cell_length_b 12.7228
_cell_length_c 9.6673
_cell_angle_alpha 90.00
_cell_angle_beta 90.00
_cell_angle_gamma 90.00
loop_
_symmetry_equiv_pos_as_xyz
'x,y,z'
'-x,-y,-z'
'-x+1/2,-y+1/2,z'
'x+1/2,y+1/2,-z'
'x+1/2,-y,-z'
'-x+1/2,y,z'
'-x,y+1/2,-z'
'x,-y+1/2,z'
loop_
_atom_site_label
_atom_site_type_symbol
_atom_site_fract_x
_atom_site_fract_y
_atom_site_fract_z
Tb1 Tb 0.2500 0.0834 0.2496
Tb2 Tb 0.2500 0.7500 0.2459
Ge1 Ge 0.2500 0.0810 0.6489
Ge2 Ge 0.2500 0.6308 0.9815
Ge3 Ge 0.2500 0.7500 0.6359
Rh1 Rh 0.2500 0.0501 0.9024
Rh2 Rh 0.2500 0.2500 0.0139
Rh3 Rh 0.2500 0.2500 0.5121
Rh4 Rh 0.2500 0.5833 0.4974
```

=====

The following is a PBE-GGA calculation of Tb3GeRh2 after structural relaxation, from Alexandria via LeMat-Bulk.

Output
**Calculated total energy**: -6.31 eV per atom
**Energy of formation from the pure elements**: -773 meV/atom
**ρ**: 9.109 g/cm³
**V**: 22.95 Å³/atom

CIF file:
```
data_Tb3GeRh2
_symmetry_space_group_name_H-M 'P n m a'
_symmetry_Int_Tables_number 62
_cell_length_a 11.7608
_cell_length_b 3.9036
_cell_length_c 11.9955
_cell_angle_alpha 90.00
_cell_angle_beta 90.00
_cell_angle_gamma 90.00
loop_
_symmetry_equiv_pos_as_xyz
'x,y,z'
'-x,-y,-z'
'-x+1/2,-y,z+1/2'
'x+1/2,y,-z+1/2'
'x+1/2,-y+1/2,-z+1/2'
'-x+1/2,y+1/2,z+1/2'
'-x,y+1/2,-z'
'x,-y+1/2,z'
loop_
_atom_site_label
_atom_site_type_symbol
_atom_site_fract_x
_atom_site_fract_y
_atom_site_fract_z
Tb1 Tb 0.0553 0.2500 0.1202
Tb2 Tb 0.1282 0.7500 0.5624
Tb3 Tb 0.2001 0.2500 0.8174
Ge1 Ge 0.1199 0.2500 0.3658
Rh1 Rh 0.0054 0.7500 0.3051
Rh2 Rh 0.1889 0.7500 0.9891
```

=====

The following is a PBE-GGA calculation of Tb3Ge3Rh2 after structural relaxation, from Alexandria via LeMat-Bulk.

Output
**Calculated total energy**: -6.26 eV per atom
**Energy of formation from the pure elements**: -951 meV/atom
**Energy relative to the lowest polymorph listed for this composition**: 0.000 eV per atom
**ρ**: 9.161 g/cm³
**V**: 20.40 Å³/atom

CIF file:
```
data_Tb3Ge3Rh2
_symmetry_space_group_name_H-M 'C m c m'
_symmetry_Int_Tables_number 63
_symmetry_space_group_name_Hall '-C 2c 2'
_cell_length_a 4.3197
_cell_length_b 10.5625
_cell_length_c 14.3094
_cell_angle_alpha 90.00
_cell_angle_beta 90.00
_cell_angle_gamma 90.00
loop_
_atom_site_label
_atom_site_type_symbol
_atom_site_fract_x
_atom_site_fract_y
_atom_site_fract_z
Tb1 Tb 0.0000 0.0838 0.1102
Tb2 Tb 0.0000 0.3571 0.2500
Ge1 Ge 0.0000 0.3436 0.7500
Ge2 Ge 0.0000 0.3800 0.0369
Rh1 Rh 0.0000 0.2026 0.5994
```